Computed, not measured: a relaxed structure of KHBr3 at the GGA-PBE level of DFT.

Uncorrected energy (eV per cell): -10.486
ΔE to the lowest computed polymorph (eV per formula unit): 2.86

```
data_KHBr3
_chemical_formula_sum 'K1 H1 Br3'
_symmetry_space_group_name_H-M 'P m -3 m'
_symmetry_Int_Tables_number 221
_symmetry_space_group_name_Hall '-P 4 2 3'
_cell_length_a 4.986
_cell_length_b 4.986
_cell_length_c 4.986
_cell_angle_alpha 90.00
_cell_angle_beta 90.00
_cell_angle_gamma 90.00
loop_
_atom_site_label
_atom_site_type_symbol
_atom_site_fract_x
_atom_site_fract_y
_atom_site_fract_z
_atom_site_occupancy
K1 K 0.000 0.000 0.000 1
H1 H 0.500 0.500 0.500 1
Br1 Br 0.000 0.500 0.500 1
```